## BaTiNi2F (PBEsol)

Data for an optimized crystal structure of BaTiNi2F.

Output
The calculation puts the mass density at 4.09 g/cm³. For the uncorrected formation energy, the calculation gives 8.47 eV/f.u. Its final energy is -16.2 eV/cell. The spin magnetization is 3.36 μB per formula unit.

Geometry as CIF:
```
data_BaTiNi2F
_chemical_formula_sum 'Ba1 Ti1 Ni2 F1'
_cell_length_a 4.740
_cell_length_b 4.740
_cell_length_c 5.814
_cell_angle_alpha 90.00
_cell_angle_beta 90.00
_cell_angle_gamma 90.00
_space_group_name_H-M_alt 'P 4/m m m'
_space_group_IT_number 123
_space_group_name_Hall '-P 4 2'
loop_
_atom_site_label
_atom_site_fract_x
_atom_site_fract_y
_atom_site_fract_z
Ba1 0.000 0.000 0.000
Ti1 0.000 0.000 0.500
Ni1 0.000 0.500 0.000
F1 0.500 0.500 0.500
```